Model A:
Below is Ce2NdOs2 after structural relaxation, with properties calculated at the PBE-GGA level.

Properties
D(E_F) = 20.79 states/eV/cell

Structure (CIF):
```
data_Ce2NdOs2
_chemical_formula_sum 'Ce6 Nd3 Os6'
_cell_length_a 4.5986
_cell_length_b 4.5986
_cell_length_c 19.5768
_cell_angle_alpha 90.00
_cell_angle_beta 90.00
_cell_angle_gamma 120.00
_symmetry_space_group_name_H-M 'R -3 m'
_symmetry_Int_Tables_number 166
_symmetry_space_group_name_Hall '-R 3 2"'
loop_
_atom_site_label
_atom_site_type_symbol
_atom_site_fract_x
_atom_site_fract_y
_atom_site_fract_z
_atom_site_occupancy
Ce1 Ce 0.0000 0.0000 0.2178 1
Nd1 Nd 0.0000 0.0000 0.0000 1
Os1 Os 0.0000 0.0000 0.4297 1
```



Model B:
Below is Ce2NdOs2 after structural relaxation, with properties calculated at the PBE-GGA level.

Properties
D(E_F) = 27.48 states/eV/cell

Structure (CIF):
```
data_Ce2NdOs2
_chemical_formula_sum 'Ce8 Nd4 Os8'
_cell_length_a 12.2448
_cell_length_b 4.1987
_cell_length_c 10.6358
_cell_angle_alpha 90.00
_cell_angle_beta 117.63
_cell_angle_gamma 90.00
_symmetry_space_group_name_H-M 'C 1 2/m 1'
_symmetry_Int_Tables_number 12
_symmetry_space_group_name_Hall '-C 2y'
loop_
_atom_site_label
_atom_site_type_symbol
_atom_site_fract_x
_atom_site_fract_y
_atom_site_fract_z
_atom_site_occupancy
Ce1 Ce 0.0516 0.0000 0.2085 1
Ce2 Ce 0.1787 0.0000 0.5862 1
Nd1 Nd 0.1915 0.5000 0.8544 1
Os1 Os 0.0621 0.5000 0.4230 1
Os2 Os 0.1186 0.5000 0.0858 1
```



Stability verdict: model B, ahead by 0.022 eV/atom



Model A:
Below is CeNdP2 after structural relaxation, with properties calculated at the PBE-GGA level.

Properties
D(E_F) = 14.01 states/eV/cell

Structure (CIF):
```
data_CeNdP2
_chemical_formula_sum 'Ce3 Nd3 P6'
_cell_length_a 4.1281
_cell_length_b 4.1281
_cell_length_c 20.2290
_cell_angle_alpha 90.00
_cell_angle_beta 90.00
_cell_angle_gamma 120.00
_symmetry_space_group_name_H-M 'R -3 m'
_symmetry_Int_Tables_number 166
_symmetry_space_group_name_Hall '-R 3 2"'
loop_
_atom_site_label
_atom_site_type_symbol
_atom_site_fract_x
_atom_site_fract_y
_atom_site_fract_z
_atom_site_occupancy
Ce1 Ce 0.0000 0.0000 0.0000 1
Nd1 Nd 0.0000 0.0000 0.5000 1
P1 P 0.0000 0.0000 0.2527 1
```



Model B:
Below is CeNdP2 after structural relaxation, with properties calculated at the PBE-GGA level.

Properties
D(E_F) = 18.09 states/eV/cell

Structure (CIF):
```
data_CeNdP2
_chemical_formula_sum 'Ce3 Nd3 P6'
_cell_length_a 4.0548
_cell_length_b 4.0548
_cell_length_c 21.3880
_cell_angle_alpha 90.00
_cell_angle_beta 90.00
_cell_angle_gamma 120.00
_symmetry_space_group_name_H-M 'R 3 m'
_symmetry_Int_Tables_number 160
_symmetry_space_group_name_Hall 'R 3 -2"'
loop_
_atom_site_label
_atom_site_type_symbol
_atom_site_fract_x
_atom_site_fract_y
_atom_site_fract_z
_atom_site_occupancy
Ce1 Ce 0.0000 0.0000 0.0000 1
Nd1 Nd 0.0000 0.0000 0.1723 1
P1 P 0.0000 0.0000 0.5860 1
P2 P 0.0000 0.0000 0.7515 1
```



Model C:
Below is CeNdP2 after structural relaxation, with properties calculated at the PBE-GGA level.

Properties
D(E_F) = 8.74 states/eV/cell

Structure (CIF):
```
data_CeNdP2
_chemical_formula_sum 'Ce2 Nd2 P4'
_cell_length_a 4.1074
_cell_length_b 4.1074
_cell_length_c 13.5279
_cell_angle_alpha 90.00
_cell_angle_beta 90.00
_cell_angle_gamma 120.00
_symmetry_space_group_name_H-M 'P 63/m m c'
_symmetry_Int_Tables_number 194
_symmetry_space_group_name_Hall '-P 6c 2c'
loop_
_atom_site_label
_atom_site_type_symbol
_atom_site_fract_x
_atom_site_fract_y
_atom_site_fract_z
_atom_site_occupancy
Ce1 Ce 0.0000 0.0000 0.0000 1
Nd1 Nd 0.3333 0.6667 0.2500 1
P1 P 0.3333 0.6667 0.6193 1
```



Stability verdict: model A, ahead by 0.038 eV/atom



Model A:
Below is Ce2NdP3 after structural relaxation, with properties calculated at the PBE-GGA level.

Properties
D(E_F) = 19.79 states/eV/cell

Structure (CIF):
```
data_Ce2NdP3
_chemical_formula_sum 'Ce4 Nd2 P6'
_cell_length_a 3.8574
_cell_length_b 10.6108
_cell_length_c 7.1252
_cell_angle_alpha 90.00
_cell_angle_beta 90.00
_cell_angle_gamma 90.00
_symmetry_space_group_name_H-M 'P m c 21'
_symmetry_Int_Tables_number 26
_symmetry_space_group_name_Hall 'P 2c -2'
loop_
_atom_site_label
_atom_site_type_symbol
_atom_site_fract_x
_atom_site_fract_y
_atom_site_fract_z
_atom_site_occupancy
Ce1 Ce 0.0000 0.0019 0.0000 1
Ce2 Ce 0.5000 0.3451 0.4949 1
Nd1 Nd 0.5000 0.3354 0.0047 1
P1 P 0.0000 0.2084 0.2550 1
P2 P 0.0000 0.4761 0.7470 1
P3 P 0.5000 0.1250 0.7444 1
```



Model B:
Below is Ce2NdP3 after structural relaxation, with properties calculated at the PBE-GGA level.

Properties
D(E_F) = 18.48 states/eV/cell

Structure (CIF):
```
data_Ce2NdP3
_chemical_formula_sum 'Ce4 Nd2 P6'
_cell_length_a 4.1147
_cell_length_b 5.8211
_cell_length_c 12.3433
_cell_angle_alpha 90.00
_cell_angle_beta 90.00
_cell_angle_gamma 90.00
_symmetry_space_group_name_H-M 'I m m m'
_symmetry_Int_Tables_number 71
_symmetry_space_group_name_Hall '-I 2 2'
loop_
_atom_site_label
_atom_site_type_symbol
_atom_site_fract_x
_atom_site_fract_y
_atom_site_fract_z
_atom_site_occupancy
Ce1 Ce 0.0000 0.0000 0.1661 1
Nd1 Nd 0.0000 0.0000 0.5000 1
P1 P 0.0000 0.5000 0.1710 1
P2 P 0.0000 0.5000 0.5000 1
```



Stability verdict: model B, ahead by 0.333 eV/atom



Model A:
Below is Ce2NdPa after structural relaxation, with properties calculated at the PBE-GGA level.

Properties
D(E_F) = 55.05 states/eV/cell

Structure (CIF):
```
data_Ce2NdPa
_chemical_formula_sum 'Ce8 Nd4 Pa4'
_cell_length_a 7.6545
_cell_length_b 7.6545
_cell_length_c 7.6545
_cell_angle_alpha 90.00
_cell_angle_beta 90.00
_cell_angle_gamma 90.00
_symmetry_space_group_name_H-M 'F m -3 m'
_symmetry_Int_Tables_number 225
_symmetry_space_group_name_Hall '-F 4 2 3'
loop_
_atom_site_label
_atom_site_type_symbol
_atom_site_fract_x
_atom_site_fract_y
_atom_site_fract_z
_atom_site_occupancy
Ce1 Ce 0.2500 0.2500 0.2500 1
Nd1 Nd 0.0000 0.0000 0.0000 1
Pa1 Pa 0.0000 0.0000 0.5000 1
```



Model B:
Below is Ce2NdPa after structural relaxation, with properties calculated at the PBE-GGA level.

Properties
D(E_F) = 9.85 states/eV/cell

Structure (CIF):
```
data_Ce2NdPa
_chemical_formula_sum 'Ce2 Nd1 Pa1'
_cell_length_a 4.8416
_cell_length_b 4.8416
_cell_length_c 4.7205
_cell_angle_alpha 90.00
_cell_angle_beta 90.00
_cell_angle_gamma 90.00
_symmetry_space_group_name_H-M 'P 4/m m m'
_symmetry_Int_Tables_number 123
_symmetry_space_group_name_Hall '-P 4 2'
loop_
_atom_site_label
_atom_site_type_symbol
_atom_site_fract_x
_atom_site_fract_y
_atom_site_fract_z
_atom_site_occupancy
Ce1 Ce 0.0000 0.5000 0.0000 1
Nd1 Nd 0.0000 0.0000 0.5000 1
Pa1 Pa 0.5000 0.5000 0.5000 1
```



Stability verdict: model B, ahead by 0.172 eV/atom



Model A:
Below is Ce2NdPa after structural relaxation, with properties calculated at the PBE-GGA level.

Properties
D(E_F) = 33.03 states/eV/cell

Structure (CIF):
```
data_Ce2NdPa
_chemical_formula_sum 'Ce6 Nd3 Pa3'
_cell_length_a 3.8367
_cell_length_b 3.8367
_cell_length_c 29.6205
_cell_angle_alpha 90.00
_cell_angle_beta 90.00
_cell_angle_gamma 120.00
_symmetry_space_group_name_H-M 'R -3 m'
_symmetry_Int_Tables_number 166
_symmetry_space_group_name_Hall '-R 3 2"'
loop_
_atom_site_label
_atom_site_type_symbol
_atom_site_fract_x
_atom_site_fract_y
_atom_site_fract_z
_atom_site_occupancy
Ce1 Ce 0.0000 0.0000 0.1120 1
Nd1 Nd 0.0000 0.0000 0.0000 1
Pa1 Pa 0.0000 0.0000 0.5000 1
```



Model B:
Below is Ce2NdPa after structural relaxation, with properties calculated at the PBE-GGA level.

Properties
D(E_F) = 9.41 states/eV/cell

Structure (CIF):
```
data_Ce2NdPa
_chemical_formula_sum 'Ce2 Nd1 Pa1'
_cell_length_a 3.3710
_cell_length_b 3.3710
_cell_length_c 10.0104
_cell_angle_alpha 90.00
_cell_angle_beta 90.00
_cell_angle_gamma 90.00
_symmetry_space_group_name_H-M 'P 4/m m m'
_symmetry_Int_Tables_number 123
_symmetry_space_group_name_Hall '-P 4 2'
loop_
_atom_site_label
_atom_site_type_symbol
_atom_site_fract_x
_atom_site_fract_y
_atom_site_fract_z
_atom_site_occupancy
Ce1 Ce 0.0000 0.0000 0.2280 1
Nd1 Nd 0.5000 0.5000 0.5000 1
Pa1 Pa 0.5000 0.5000 0.0000 1
```



Stability verdict: model B, ahead by 0.579 eV/atom



Model A:
Below is CeNdPa2 after structural relaxation, with properties calculated at the PBE-GGA level.

Properties
D(E_F) = 8.23 states/eV/cell

Structure (CIF):
```
data_CeNdPa2
_chemical_formula_sum 'Ce1 Nd1 Pa2'
_cell_length_a 3.2213
_cell_length_b 3.2213
_cell_length_c 10.3490
_cell_angle_alpha 90.00
_cell_angle_beta 90.00
_cell_angle_gamma 90.00
_symmetry_space_group_name_H-M 'P 4/m m m'
_symmetry_Int_Tables_number 123
_symmetry_space_group_name_Hall '-P 4 2'
loop_
_atom_site_label
_atom_site_type_symbol
_atom_site_fract_x
_atom_site_fract_y
_atom_site_fract_z
_atom_site_occupancy
Ce1 Ce 0.0000 0.0000 0.0000 1
Nd1 Nd 0.0000 0.0000 0.5000 1
Pa1 Pa 0.5000 0.5000 0.2372 1
```



Model B:
Below is CeNdPa2 after structural relaxation, with properties calculated at the PBE-GGA level.

Properties
D(E_F) = 9.21 states/eV/cell

Structure (CIF):
```
data_CeNdPa2
_chemical_formula_sum 'Ce1 Nd1 Pa2'
_cell_length_a 4.6385
_cell_length_b 4.6385
_cell_length_c 5.0236
_cell_angle_alpha 90.00
_cell_angle_beta 90.00
_cell_angle_gamma 90.00
_symmetry_space_group_name_H-M 'P 4/m m m'
_symmetry_Int_Tables_number 123
_symmetry_space_group_name_Hall '-P 4 2'
loop_
_atom_site_label
_atom_site_type_symbol
_atom_site_fract_x
_atom_site_fract_y
_atom_site_fract_z
_atom_site_occupancy
Ce1 Ce 0.0000 0.0000 0.0000 1
Nd1 Nd 0.5000 0.5000 0.0000 1
Pa1 Pa 0.0000 0.5000 0.5000 1
```



Stability verdict: model A, ahead by 0.039 eV/atom



Model A:
Below is Ce2NdPb2 after structural relaxation, with properties calculated at the PBE-GGA level.

Properties
D(E_F) = 26.91 states/eV/cell

Structure (CIF):
```
data_Ce2NdPb2
_chemical_formula_sum 'Ce4 Nd2 Pb4'
_cell_length_a 9.5793
_cell_length_b 5.5294
_cell_length_c 6.5854
_cell_angle_alpha 90.00
_cell_angle_beta 90.06
_cell_angle_gamma 90.00
_symmetry_space_group_name_H-M 'C 1 2/m 1'
_symmetry_Int_Tables_number 12
_symmetry_space_group_name_Hall '-C 2y'
loop_
_atom_site_label
_atom_site_type_symbol
_atom_site_fract_x
_atom_site_fract_y
_atom_site_fract_z
_atom_site_occupancy
Ce1 Ce 0.1665 0.0000 0.2166 1
Nd1 Nd 0.0000 0.5000 0.5000 1
Pb1 Pb 0.1668 0.0000 0.7175 1
```



Model B:
Below is Ce2NdPb2 after structural relaxation, with properties calculated at the PBE-GGA level.

Properties
D(E_F) = 19.42 states/eV/cell

Structure (CIF):
```
data_Ce2NdPb2
_chemical_formula_sum 'Ce4 Nd2 Pb4'
_cell_length_a 6.2122
_cell_length_b 6.2926
_cell_length_c 8.2931
_cell_angle_alpha 90.00
_cell_angle_beta 110.93
_cell_angle_gamma 90.00
_symmetry_space_group_name_H-M 'C 1 2/m 1'
_symmetry_Int_Tables_number 12
_symmetry_space_group_name_Hall '-C 2y'
loop_
_atom_site_label
_atom_site_type_symbol
_atom_site_fract_x
_atom_site_fract_y
_atom_site_fract_z
_atom_site_occupancy
Ce1 Ce 0.0000 0.2220 0.0000 1
Nd1 Nd 0.0000 0.0000 0.5000 1
Pb1 Pb 0.0801 0.5000 0.6934 1
```



Stability verdict: model B, ahead by 0.055 eV/atom



Model A:
Below is CeNd3Pb2 after structural relaxation, with properties calculated at the PBE-GGA level.

Properties
D(E_F) = 9.88 states/eV/cell

Structure (CIF):
```
data_CeNd3Pb2
_chemical_formula_sum 'Ce1 Nd3 Pb2'
_cell_length_a 4.6502
_cell_length_b 4.6502
_cell_length_c 8.9576
_cell_angle_alpha 90.00
_cell_angle_beta 90.00
_cell_angle_gamma 90.00
_symmetry_space_group_name_H-M 'P -4 m 2'
_symmetry_Int_Tables_number 115
_symmetry_space_group_name_Hall 'P -4 -2'
loop_
_atom_site_label
_atom_site_type_symbol
_atom_site_fract_x
_atom_site_fract_y
_atom_site_fract_z
_atom_site_occupancy
Ce1 Ce 0.0000 0.0000 0.0000 1
Nd1 Nd 0.0000 0.5000 0.3505 1
Nd2 Nd 0.5000 0.5000 0.0000 1
Pb1 Pb 0.0000 0.5000 0.7196 1
```



Model B:
Below is CeNd3Pb2 after structural relaxation, with properties calculated at the PBE-GGA level.

Properties
D(E_F) = 45.61 states/eV/cell

Structure (CIF):
```
data_CeNd3Pb2
_chemical_formula_sum 'Ce4 Nd12 Pb8'
_cell_length_a 7.7248
_cell_length_b 14.9423
_cell_length_c 7.7687
_cell_angle_alpha 90.00
_cell_angle_beta 90.00
_cell_angle_gamma 90.00
_symmetry_space_group_name_H-M 'I b a m'
_symmetry_Int_Tables_number 72
_symmetry_space_group_name_Hall '-I 2 2c'
loop_
_atom_site_label
_atom_site_type_symbol
_atom_site_fract_x
_atom_site_fract_y
_atom_site_fract_z
_atom_site_occupancy
Ce1 Ce 0.0000 0.0000 0.0000 1
Nd1 Nd 0.0000 0.2102 0.2500 1
Nd2 Nd 0.0000 0.5000 0.2500 1
Pb1 Pb 0.1849 0.3574 0.0000 1
```



Stability verdict: model A, ahead by 0.264 eV/atom